VASP calculation (GGA-PBE) on a relaxed La4SnGeSe2 crystal.

POSCAR file:
```
La4SnGeSe2
1.0
7.6871 0.0000 0.0000
0.0000 4.4387 0.0000
-2.5768 0.0000 7.2968
La Sn Ge Se
4 1 1 2
Direct
0.2453 0.0000 0.2409
0.2529 0.5000 0.7590
0.7471 0.5000 0.2410
0.7547 0.0000 0.7591
0.0000 0.0000 0.5000
0.0000 0.5000 0.0000
0.5000 0.0000 0.0000
0.5000 0.5000 0.5000
```

## Properties
The value obtained for the formation energy (no corrections) is -1.39 eV per atom. The total magnetic moment comes out at 0.0 μB per formula unit.



VASP calculation (GGA-PBE) on a relaxed LaTcGeSe2 crystal.

POSCAR file:
```
LaTcGeSe2
1.0
5.0282 0.0000 0.0000
0.0000 5.0282 0.0000
0.0000 0.0000 5.6222
La Tc Ge Se
1 1 1 2
Direct
0.0000 0.0000 0.0000
0.5000 0.5000 0.0000
0.0000 0.0000 0.5000
0.0000 0.5000 0.5000
0.5000 0.0000 0.5000
```

## Properties
The value obtained for the formation energy (no corrections) is 0.69 eV per atom. The total magnetic moment comes out at 3.6 μB per formula unit.



VASP calculation (GGA-PBE) on a relaxed La6GeTe3Se2 crystal.

POSCAR file:
```
La6GeTe3Se2
1.0
3.8431 -6.6531 0.0000
3.8431 6.6531 0.0000
-2.5576 0.0000 7.4421
La Ge Te Se
6 1 3 2
Direct
0.0748 0.4035 0.2251
0.2532 0.2532 0.7743
0.4035 0.0748 0.2251
0.5965 0.9252 0.7749
0.7468 0.7468 0.2257
0.9252 0.5965 0.7749
0.0000 0.0000 0.0000
0.1679 0.8321 0.5000
0.5000 0.5000 0.5000
0.8321 0.1679 0.5000
0.3335 0.6665 0.0000
0.6665 0.3335 0.0000
```

## Properties
The value obtained for the formation energy (no corrections) is -1.66 eV per atom. The total magnetic moment comes out at 0.0 μB per formula unit.